Entry 1:
Entry from Alexandria via LeMat-Bulk: a geometry-optimized Cs2SnAu3 structure (PBE-GGA).

a = 7.8078 Å, b = 7.8078 Å, c = 8.7646 Å
α = 101.83°, β = 101.83°, γ = 72.64°
Element x y z (fractional)
Cs 0.0268 0.6564 0.8336
Cs 0.3436 0.9732 0.6664
Cs 0.6564 0.0268 0.3336
Cs 0.9732 0.3436 0.1664
Sn 0.4160 0.5840 0.2500
Sn 0.5840 0.4160 0.7500
Au 0.1197 0.8803 0.2500
Au 0.3127 0.4602 0.4935
Au 0.4602 0.3127 0.9935
Au 0.5398 0.6873 0.0065
Au 0.6873 0.5398 0.5065
Au 0.8803 0.1197 0.7500

Results
Total energy ... -2.76 eV/atom

---

Entry 2:
Entry from Alexandria via LeMat-Bulk: a geometry-optimized KZr2Cd structure (PBE-GGA).

a = 7.5317 Å, b = 7.5317 Å, c = 7.5317 Å
α = 90.00°, β = 90.00°, γ = 90.00°
Element x y z (fractional)
K 0.0000 0.0000 0.0000
K 0.0000 0.5000 0.5000
K 0.5000 0.0000 0.5000
K 0.5000 0.5000 0.0000
Zr 0.0000 0.0000 0.5000
Zr 0.0000 0.5000 0.0000
Zr 0.2500 0.2500 0.2500
Zr 0.2500 0.7500 0.7500
Zr 0.5000 0.0000 0.0000
Zr 0.5000 0.5000 0.5000
Zr 0.7500 0.2500 0.7500
Zr 0.7500 0.7500 0.2500
Cd 0.2500 0.2500 0.7500
Cd 0.2500 0.7500 0.2500
Cd 0.7500 0.2500 0.2500
Cd 0.7500 0.7500 0.7500

Results
Total energy ... -4.03 eV/atom

---

Entry 3:
Entry from Alexandria via LeMat-Bulk: a geometry-optimized Na8Tl2In3 structure (PBE-GGA).

a = 8.4415 Å, b = 8.4415 Å, c = 6.4301 Å
α = 95.29°, β = 95.29°, γ = 64.63°
Element x y z (fractional)
Na 0.0706 0.6903 0.0551
Na 0.1005 0.1005 0.4063
Na 0.3097 0.9294 0.9449
Na 0.3118 0.3118 0.6975
Na 0.6882 0.6882 0.3025
Na 0.6903 0.0706 0.0551
Na 0.8995 0.8995 0.5937
Na 0.9294 0.3097 0.9449
Tl 0.3085 0.3085 0.2125
Tl 0.6915 0.6915 0.7875
In 0.3304 0.6696 0.5000
In 0.5000 0.5000 0.0000
In 0.6696 0.3304 0.5000

Results
Total energy ... -1.84 eV/atom

---

Entry 4:
Entry from Alexandria via LeMat-Bulk: a geometry-optimized LaYNb2As structure (PBE-GGA).

a = 4.9219 Å, b = 4.9219 Å, c = 5.9106 Å
α = 90.00°, β = 90.00°, γ = 90.00°
Element x y z (fractional)
La 0.0000 0.0000 0.0000
Y 0.0000 0.0000 0.5000
Nb 0.0000 0.5000 0.5000
Nb 0.5000 0.0000 0.5000
As 0.5000 0.5000 0.0000

Results
Total energy ... -5.74 eV/atom

---

Entry 5:
Entry from Alexandria via LeMat-Bulk: a geometry-optimized NaCrSe3 structure (PBE-GGA).

a = 5.1416 Å, b = 5.1416 Å, c = 5.1416 Å
α = 90.00°, β = 90.00°, γ = 90.00°
Element x y z (fractional)
Na 0.0000 0.0000 0.0000
Cr 0.5000 0.5000 0.5000
Se 0.0000 0.0000 0.5000
Se 0.0000 0.5000 0.0000
Se 0.5000 0.0000 0.0000

Results
Excess energy over the best structure of this formula in the dataset ... 1288.3 meV/atom
Raw formation energy ... 0.785 eV per atom

---

Entry 6:
Entry from Alexandria via LeMat-Bulk: a geometry-optimized La4InAu structure (PBE-GGA).

a = 6.4289 Å, b = 6.4289 Å, c = 6.4289 Å
α = 60.00°, β = 60.00°, γ = 60.00°
Element x y z (fractional)
La 0.3758 0.3758 0.3758
La 0.3758 0.3758 0.8725
La 0.3758 0.8725 0.3758
La 0.8725 0.3758 0.3758
In 0.7500 0.7500 0.7500
Au 0.0000 0.0000 0.0000

Results
Excess energy over the best structure of this formula in the dataset ... 559.2 meV/atom

---

Entry 7:
Entry from Alexandria via LeMat-Bulk: a geometry-optimized CsAlIn structure (PBE-GGA).

a = 4.3221 Å, b = 4.9188 Å, c = 13.4600 Å
α = 96.77°, β = 93.77°, γ = 114.83°
Element x y z (fractional)
Cs 0.1325 0.3654 0.1884
Cs 0.8675 0.6346 0.8116
Al 0.3624 0.7130 0.5314
Al 0.6376 0.2870 0.4686
In 0.0985 0.1537 0.6168
In 0.9015 0.8463 0.3832

Results
Excess energy over the best structure of this formula in the dataset ... 29.1 meV/atom

---

Entry 8:
Entry from Alexandria via LeMat-Bulk: a geometry-optimized Rb2CdAsBr6 structure (PBE-GGA).

a = 7.8810 Å, b = 7.8810 Å, c = 7.8810 Å
α = 119.88°, β = 119.88°, γ = 90.21°
Element x y z (fractional)
Rb 0.2500 0.7500 0.5000
Rb 0.7500 0.2500 0.5000
Cd 0.0000 0.0000 0.0000
As 0.5000 0.5000 0.0000
Br 0.2549 0.2549 0.0000
Br 0.2570 0.2570 0.5140
Br 0.2570 0.7430 0.0000
Br 0.7430 0.2570 0.0000
Br 0.7430 0.7430 0.4860
Br 0.7451 0.7451 0.0000

Results
Raw formation energy ... -0.988 eV per atom

---

Number 1: mass density 6.569 Mg/m³, N(E_F) 2.31 states/eV per cell. Number 2: mass density 5.192 Mg/m³, N(E_F) 10.27 states/eV per cell. Number 3: mass density 3.781 Mg/m³, N(E_F) 4.85 states/eV per cell. Number 4: mass density 5.666 Mg/m³, N(E_F) 7.72 states/eV per cell. Number 5: mass density 3.810 Mg/m³, N(E_F) 5.99 states/eV per cell. Number 6: mass density 7.666 Mg/m³, N(E_F) 8.04 states/eV per cell. Number 7: mass density 3.567 Mg/m³, N(E_F) 2.61 states/eV per cell. Number 8: mass density 4.012 Mg/m³, N(E_F) 2.47 states/eV per cell.